Entry from Alexandria via LeMat-Bulk: a geometry-optimized Na3DyHg12 structure (PBE-GGA).

Calculated formation energy: -0.2142 eV/atom
DOS(E_F): 0.36 states/eV/atom

Cell: 4.6402 4.6402 18.7297 Å, 90.00 90.00 90.00°
With the nearest neighbours (Å) after each atom.
Space group P4/mmm (No. 123)
Symmetry-distinct sites (fractional):
Na: 0.0000 0.0000 0.0000 [1 per cell]  12 Hg 3.28-3.32
Na: 0.0000 0.0000 0.2519 [2 per cell]  12 Hg 3.28-3.31
Dy: 0.0000 0.0000 0.5000 [1 per cell]  12 Hg 3.26-3.28
Hg: 0.0000 0.5000 0.1271 [4 per cell]  8 Hg 3.28-3.32, 4 Na 3.29-3.32
Hg: 0.0000 0.5000 0.3776 [4 per cell]  8 Hg 3.26-3.28, 2 Dy 3.26, 2 Na 3.31
Hg: 0.5000 0.5000 0.0000 [1 per cell]  4 Na 3.28, 8 Hg 3.32
Hg: 0.5000 0.5000 0.2542 [2 per cell]  8 Hg 3.27-3.32, 4 Na 3.28
Hg: 0.5000 0.5000 0.5000 [1 per cell]  8 Hg 3.26, 4 Dy 3.28


Entry from Alexandria via LeMat-Bulk: a geometry-optimized NaDyHg4 structure (PBE-GGA).

Energy relative to the lowest polymorph listed for this composition: 185 meV/atom
Calculated formation energy: -0.1112 eV/atom
DOS(E_F): 0.49 states/eV/atom

Cell: 8.4539 8.4539 8.4539 Å, 90.00 90.00 90.00°
With the nearest neighbours (Å) after each atom.
Space group F-43m (No. 216)
Symmetry-distinct sites (fractional):
Na: 0.0000 0.0000 0.0000 [4 per cell]  12 Hg 3.50, 4 Dy 3.66
Dy: 0.2500 0.2500 0.7500 [4 per cell]  12 Hg 3.50, 4 Na 3.66
Hg: 0.1250 0.1250 0.3750 [16 per cell]  6 Hg 2.99


Entry from Alexandria via LeMat-Bulk: a geometry-optimized Na2DyHg structure (PBE-GGA).

Calculated formation energy: 0.1071 eV/atom
DOS(E_F): 0.77 states/eV/atom

Cell: 3.4252 3.4252 35.6289 Å, 90.00 90.00 120.00°
With the nearest neighbours (Å) after each atom.
Space group R-3m (No. 166, hexagonal axes)
Symmetry-distinct sites (fractional):
Na: 0.0000 0.0000 0.0946 [6 per cell]  3 Hg 3.24, 1 Dy 3.37, 6 Na 3.43
Dy: 0.0000 0.0000 0.0000 [3 per cell]  2 Na 3.37, 6 Dy 3.43
Hg: 0.0000 0.0000 0.5000 [3 per cell]  6 Na 3.24, 6 Hg 3.43


Entry from Alexandria via LeMat-Bulk: a geometry-optimized NaDy2Hg structure (PBE-GGA).

Energy relative to the lowest polymorph listed for this composition: 90 meV/atom
Calculated formation energy: 0.0389 eV/atom
DOS(E_F): 1.20 states/eV/atom

Cell: 3.5383 3.5383 35.5265 Å, 90.00 90.00 120.00°
With the nearest neighbours (Å) after each atom.
Space group R-3m (No. 166, hexagonal axes)
Symmetry-distinct sites (fractional):
Na: 0.0000 0.0000 0.0000 [3 per cell]  2 Dy 3.52, 6 Na 3.54
Dy: 0.0000 0.0000 0.0991 [6 per cell]  3 Hg 3.15, 1 Na 3.52
Hg: 0.0000 0.0000 0.5000 [3 per cell]  6 Dy 3.15


Entry from Alexandria via LeMat-Bulk: a geometry-optimized NaDy2Hg4 structure (PBE-GGA).

Calculated formation energy: -0.2368 eV/atom
DOS(E_F): 0.79 states/eV/atom

Cell: 5.0797 5.0797 25.0176 Å, 90.00 90.00 120.00°
With the nearest neighbours (Å) after each atom.
Space group R-3m (No. 166, hexagonal axes)
Symmetry-distinct sites (fractional):
Na: 0.0000 0.0000 0.0000 [3 per cell]  8 Hg 3.13-3.18
Dy: 0.0000 0.0000 0.2493 [6 per cell]  8 Hg 3.06-3.18
Hg: 0.0000 0.0000 0.1271 [6 per cell]  4 Dy 3.06-3.12, 1 Na 3.18
Hg: 0.0000 0.0000 0.3765 [6 per cell]  4 Dy 3.11-3.18, 3 Na 3.13


Entry from Alexandria via LeMat-Bulk: a geometry-optimized NaDy5Hg3 structure (PBE-GGA).

Calculated formation energy: -0.2514 eV/atom
DOS(E_F): 1.36 states/eV/atom

Cell: 9.1309 9.1309 6.7464 Å, 90.00 90.00 120.00°
With the nearest neighbours (Å) after each atom.
Space group P6_3/mcm (No. 193)
Symmetry-distinct sites (fractional):
Na: 0.0000 0.0000 0.0000 [2 per cell]  6 Dy 3.36, 2 Na 3.37, 6 Hg 3.62
Dy: 0.0000 0.3187 0.2500 [6 per cell]  3 Hg 3.02-3.07, 2 Na 3.36
Dy: 0.3333 0.6667 0.0000 [4 per cell]  8 Dy 3.37-3.54, 6 Hg 3.41
Hg: 0.0000 0.3505 0.7500 [6 per cell]  3 Dy 3.02-3.07


Entry from Alexandria via LeMat-Bulk: a geometry-optimized NaDyHg2 structure (PBE-GGA).

Calculated formation energy: -0.3599 eV/atom
DOS(E_F): 0.59 states/eV/atom

Cell: 5.3316 5.3316 3.5465 Å, 90.00 90.00 90.00°
With the nearest neighbours (Å) after each atom.
Space group P4/mmm (No. 123)
Symmetry-distinct sites (fractional):
Na: 0.0000 0.0000 0.0000 [1 per cell]  8 Hg 3.20, 2 Na 3.55
Dy: 0.5000 0.5000 0.0000 [1 per cell]  8 Hg 3.20, 2 Dy 3.55
Hg: 0.0000 0.5000 0.5000 [2 per cell]  4 Dy 3.20, 4 Na 3.20, 2 Hg 3.55


Entry from Alexandria via LeMat-Bulk: a geometry-optimized NaDy4Hg7 structure (PBE-GGA).

Calculated formation energy: -0.2960 eV/atom
DOS(E_F): 0.66 states/eV/atom

Cell: 12.7204 5.3921 11.0438 Å, 90.00 121.77 90.00°
With the nearest neighbours (Å) after each atom.
Space group C2/m (No. 12)
Symmetry-distinct sites (fractional):
Na: 0.0000 0.0000 0.0000 [2 per cell]  2 Hg 2.70
Dy: 0.0845 0.5000 0.7768 [4 per cell]  8 Hg 3.04-3.18
Dy: 0.2373 0.5000 0.3262 [4 per cell]  6 Hg 3.08-3.26
Hg: 0.0000 0.5000 0.0000 [2 per cell]  2 Na 2.70
Hg: 0.0696 0.0000 0.3382 [4 per cell]  4 Hg 3.12-3.27, 5 Dy 3.18-3.48, 1 Na 3.35
Hg: 0.1372 0.5000 0.5333 [4 per cell]  5 Dy 3.08-3.15, 4 Hg 3.17-3.27
Hg: 0.2062 0.0000 0.9129 [4 per cell]  4 Dy 3.04-3.08, 4 Hg 3.12-3.33, 1 Na 3.23


Entry from Alexandria via LeMat-Bulk: a geometry-optimized Na2DyHg5 structure (PBE-GGA).

Calculated formation energy: -0.2654 eV/atom
DOS(E_F): 0.33 states/eV/atom

Cell: 4.6765 4.6765 18.0292 Å, 90.00 90.00 90.00°
With the nearest neighbours (Å) after each atom.
Space group I4/mmm (No. 139)
Symmetry-distinct sites (fractional):
Na: 0.0000 0.0000 0.2501 [4 per cell]  8 Hg 3.24, 4 Na 3.31
Dy: 0.0000 0.0000 0.0000 [2 per cell]  12 Hg 3.26-3.31
Hg: 0.0000 0.0000 0.5000 [2 per cell]  8 Hg 3.26, 4 Dy 3.31
Hg: 0.0000 0.5000 0.1259 [8 per cell]  4 Na 3.24, 6 Hg 3.26-3.31, 2 Dy 3.26


Entry from Alexandria via LeMat-Bulk: a geometry-optimized Na2DyHg3 structure (PBE-GGA).

Calculated formation energy: -0.2888 eV/atom
DOS(E_F): 0.55 states/eV/atom

Cell: 5.2042 15.6134 7.5585 Å, 90.00 90.00 90.00°
With the nearest neighbours (Å) after each atom.
Space group Cmmm (No. 65)
Symmetry-distinct sites (fractional):
Na: 0.0000 0.0000 0.0000 [2 per cell]  8 Hg 3.25-3.30
Na: 0.0000 0.0000 0.5000 [2 per cell]  8 Hg 3.18-3.19
Na: 0.0000 0.3343 0.0000 [4 per cell]  8 Hg 3.24-3.27
Dy: 0.0000 0.3339 0.5000 [4 per cell]  8 Hg 3.14-3.18
Hg: 0.0000 0.1690 0.2622 [8 per cell]  3 Dy 3.14-3.16, 5 Na 3.19-3.30
Hg: 0.0000 0.5000 0.2572 [4 per cell]  2 Dy 3.18, 6 Na 3.18-3.25


Entry from Alexandria via LeMat-Bulk: a geometry-optimized Na2Dy2Hg3 structure (PBE-GGA).

Calculated formation energy: -0.3313 eV/atom
DOS(E_F): 0.61 states/eV/atom

Cell: 3.7268 28.7200 3.6829 Å, 90.00 90.00 90.00°
With the nearest neighbours (Å) after each atom.
Space group Cmmm (No. 65)
Symmetry-distinct sites (fractional):
Na: 0.0000 0.1939 0.0000 [4 per cell]  4 Hg 3.25
Dy: 0.0000 0.0652 0.0000 [4 per cell]  8 Hg 3.17-3.22
Hg: 0.0000 0.3729 0.5000 [4 per cell]  4 Dy 3.17, 4 Na 3.25
Hg: 0.0000 0.5000 0.5000 [2 per cell]  8 Dy 3.22


Entry from Alexandria via LeMat-Bulk: a geometry-optimized NaDy3Hg12 structure (PBE-GGA).

Calculated formation energy: -0.2829 eV/atom
DOS(E_F): 0.54 states/eV/atom

Cell: 4.5642 4.5642 18.8055 Å, 90.00 90.00 90.00°
With the nearest neighbours (Å) after each atom.
Space group P4/mmm (No. 123)
Symmetry-distinct sites (fractional):
Na: 0.0000 0.0000 0.0000 [1 per cell]  12 Hg 3.23-3.29
Dy: 0.0000 0.0000 0.2449 [2 per cell]  12 Hg 3.19-3.35
Dy: 0.0000 0.0000 0.5000 [1 per cell]  12 Hg 3.23-3.27
Hg: 0.0000 0.5000 0.1261 [4 per cell]  2 Dy 3.19, 8 Hg 3.23-3.30, 2 Na 3.29
Hg: 0.0000 0.5000 0.3751 [4 per cell]  8 Hg 3.23-3.27, 4 Dy 3.27-3.35
Hg: 0.5000 0.5000 0.0000 [1 per cell]  4 Na 3.23, 8 Hg 3.29
Hg: 0.5000 0.5000 0.2528 [2 per cell]  4 Dy 3.23, 8 Hg 3.24-3.30
Hg: 0.5000 0.5000 0.5000 [1 per cell]  4 Dy 3.23, 8 Hg 3.27


Going through the records in order, we get volume values of 25.21 25.17 30.17 32.10 26.62 27.06 25.20 26.83 24.64 25.59 28.16 24.48 Å³ per atom.